(1)
Here is a relaxed SrHfNF2 crystal from the Alexandria database. Energies are from PBEsol.

Summary:
The formation energy from raw total energies is -80.4 kJ/mol of atoms. As for the space-group type: P4/mmm (123).

abc: 4.2173 4.2173 5.2953
angles: 90.00 90.00 90.00
Closest atoms and distances in Å follow each position.
Positions (direct):
Sr: 0.0000 0.0000 0.0000  4 F 2.11
Hf: 0.5000 0.5000 0.5000  4 N 2.98
N: 0.0000 0.0000 0.5000  2 Sr 2.65
F: 0.0000 0.5000 0.0000  2 Sr 2.11
F: 0.5000 0.0000 0.0000  2 Sr 2.11

***

(2)
Here is a relaxed Li2ScNi crystal from the Alexandria database. Energies are from PBEsol.

Summary:
As for the space-group type: P2/m (10). The formation energy from the elements is 0.03 eV per atom.

abc: 2.9784 4.8789 4.2885
angles: 90.00 94.13 90.00
Closest atoms and distances in Å follow each position.
Positions (direct):
Li: 0.2155 0.0000 0.2806  2 Li 2.35-2.44
Li: 0.7845 0.0000 0.7194  2 Li 2.35-2.44
Sc: 0.5000 0.5000 0.0000  4 Ni 2.52-2.70
Ni: 0.0000 0.5000 0.5000  4 Sc 2.52-2.70, 4 Li 2.71

***

(3)
Here is a relaxed V6O11F crystal from the Alexandria database. Energies are from PBEsol.

Summary:
The formation energy from raw total energies is -235.4 kJ/mol of atoms. As for the space-group type: Cm (8). For the offset from the most stable computed form, the calculation gives 5.3 meV/atom.

abc: 5.3636 5.3636 7.0855
angles: 109.98 109.98 72.96
Closest atoms and distances in Å follow each position.
Positions (direct):
V: 0.0000 0.0000 0.0000  5 O 1.81-1.92
V: 0.0011 0.0011 0.5297  5 O 1.83-1.92
V: 0.3396 0.3396 0.8545  6 O 1.91-1.99
V: 0.3621 0.3621 0.3533  5 O 1.79-1.93
V: 0.6667 0.6667 0.6904  6 O 1.88-2.01
V: 0.6775 0.6775 0.1818  6 O 1.89-1.96
O: 0.0474 0.6440 0.3531  3 V 1.90-1.93
O: 0.2396 0.2396 0.0608  3 V 1.88-1.99
O: 0.3084 0.7104 0.0205  3 V 1.91-1.93
O: 0.3748 0.9731 0.6888  3 V 1.91-1.92
O: 0.4377 0.4377 0.6514  3 V 1.88-1.95
O: 0.5793 0.5793 0.3860  3 V 1.79-1.96
O: 0.6440 0.0474 0.3531  3 V 1.90-1.93
O: 0.7104 0.3084 0.0205  3 V 1.91-1.93
O: 0.7769 0.7769 0.9894  3 V 1.89-1.92
O: 0.9082 0.9082 0.7181  3 V 1.81-2.01
O: 0.9731 0.3748 0.6888  3 V 1.91-1.92
F: 0.1108 0.1108 0.3212  3 V 2.06-2.08